(1)
Computed, not measured: crystalline NaSe at its relaxed geometry at the PBE level of DFT.

## Properties
The mass density is 3.14 Mg/m³. The raw formation energy comes out at -0.423 eV per atom. The total magnetization is 1.00 μB per cell. The calculation puts the density of states at the Fermi level at 2.16 states/eV/cell.

abc: 4.2392 4.2392 4.2392
angles: 60.00 60.00 60.00
With the nearest neighbours (Å) after each atom.
Atoms (fractional coordinates):
Na1 0.0000 0.0000 0.0000  6 Se 3.00
Se1 0.5000 0.5000 0.5000  6 Na 3.00

=====

(2)
Computed, not measured: crystalline NaSe at its relaxed geometry at the PBE level of DFT.

## Properties
The mass density is 3.22 Mg/m³. The raw formation energy comes out at -0.795 eV per atom. The total magnetization is 0.00 μB per cell.

abc: 7.1418 5.5414 11.2789
angles: 109.34 90.00 90.00
With the nearest neighbours (Å) after each atom.
Atoms (fractional coordinates):
Na1 0.2113 0.1819 0.5505  5 Se 2.91-3.10
Na2 0.7113 0.3181 0.9495  5 Se 2.91-3.10
Na3 0.7887 0.8181 0.4495  5 Se 2.91-3.10
Na4 0.2887 0.6819 0.0505  5 Se 2.91-3.10
Na5 0.9212 0.6903 0.8036  5 Se 2.93-3.20
Na6 0.4212 0.8097 0.6964  5 Se 2.93-3.20
Na7 0.0788 0.3097 0.1964  5 Se 2.93-3.20
Na8 0.5788 0.1903 0.3036  5 Se 2.93-3.20
Se1 0.8124 0.3733 0.5396  1 Se 2.46
Se2 0.3124 0.1267 0.9604  1 Se 2.46
Se3 0.1876 0.6267 0.4604  1 Se 2.46
Se4 0.6876 0.8733 0.0396  1 Se 2.46
Se5 0.5782 0.3147 0.6878  1 Se 2.46
Se6 0.0782 0.1853 0.8122  1 Se 2.46
Se7 0.4218 0.6853 0.3122  1 Se 2.46
Se8 0.9218 0.8147 0.1878  1 Se 2.46

=====

(3)
Computed, not measured: crystalline NaSe at its relaxed geometry at the PBE level of DFT.

## Properties
The mass density is 3.33 Mg/m³. The raw formation energy comes out at -0.743 eV per atom. The total magnetization is 0.00 μB per cell. The calculation puts the density of states at the Fermi level at 0.90 states/eV/cell.

abc: 4.8165 3.7625 16.8273
angles: 90.00 90.00 90.00
With the nearest neighbours (Å) after each atom.
Atoms (fractional coordinates):
Na1 0.0000 0.5014 0.6402  4 Se 2.98-3.03
Na2 0.5000 0.4986 0.8598  4 Se 2.98-3.03
Na3 0.5000 0.4986 0.1402  4 Se 2.98-3.03
Na4 0.0000 0.5014 0.3598  4 Se 2.98-3.03
Na5 0.0000 0.4906 0.0000  4 Se 3.05-3.07, 4 Na 3.37
Na6 0.5000 0.5094 0.5000  4 Se 3.05-3.07, 4 Na 3.37
Se1 0.0000 0.0000 0.7774  2 Se 2.58
Se2 0.5000 0.0000 0.7226  2 Se 2.58
Se3 0.5000 0.0000 0.2774  2 Se 2.58
Se4 0.0000 0.0000 0.2226  2 Se 2.58
Se5 0.0000 0.0053 0.5000  8 Na 3.01-3.07
Se6 0.5000 0.9947 0.0000  8 Na 3.01-3.07

=====

(4)
Computed, not measured: crystalline NaSe at its relaxed geometry at the PBE level of DFT.

## Properties
The mass density is 2.47 Mg/m³. The raw formation energy comes out at -0.577 eV per atom. The total magnetization is 0.00 μB per cell.

abc: 10.7514 10.7514 4.7481
angles: 90.00 90.00 90.00
With the nearest neighbours (Å) after each atom.
Atoms (fractional coordinates):
Na1 0.7366 0.6194 0.5000  3 Se 2.84-2.90
Na2 0.2634 0.3806 0.5000  3 Se 2.84-2.90
Na3 0.3806 0.7366 0.5000  3 Se 2.84-2.90
Na4 0.6194 0.2634 0.5000  3 Se 2.84-2.90
Na5 0.0238 0.2786 0.0000  4 Se 2.81-3.04
Na6 0.9762 0.7214 0.0000  4 Se 2.81-3.04
Na7 0.7214 0.0238 0.0000  4 Se 2.81-3.04
Na8 0.2786 0.9762 0.0000  4 Se 2.81-3.04
Se1 0.9215 0.4231 0.5000  1 Se 2.36
Se2 0.0785 0.5769 0.5000  1 Se 2.36
Se3 0.5769 0.9215 0.5000  1 Se 2.36
Se4 0.4231 0.0785 0.5000  1 Se 2.36
Se5 0.7150 0.7622 0.0000  4 Na 2.81-2.84
Se6 0.2850 0.2378 0.0000  4 Na 2.81-2.84
Se7 0.2378 0.7150 0.0000  4 Na 2.81-2.84
Se8 0.7622 0.2850 0.0000  4 Na 2.81-2.84

=====

(5)
Computed, not measured: crystalline Na3Se2 at its relaxed geometry at the PBE level of DFT.

## Properties
The mass density is 2.95 Mg/m³. The raw formation energy comes out at -0.874 eV per atom. The total magnetization is 0.00 μB per cell. The calculation puts the density of states at the Fermi level at 3.41 states/eV/cell.

abc: 8.1086 8.1086 6.4793
angles: 51.26 51.26 60.00
With the nearest neighbours (Å) after each atom.
Atoms (fractional coordinates):
Na1 0.0480 0.7500 0.7500  4 Se 2.90-2.98
Na2 0.7500 0.4520 0.7500  4 Se 2.90-2.98
Na3 0.4520 0.0480 0.7500  4 Se 2.90-2.98
Na4 0.2500 0.5480 0.2500  4 Se 2.90-2.98
Na5 0.5480 0.9520 0.2500  4 Se 2.90-2.98
Na6 0.9520 0.2500 0.2500  4 Se 2.90-2.98
Se1 0.8796 0.8796 0.3613  6 Na 2.90-2.98, 1 Se 3.24
Se2 0.3796 0.3796 0.8613  6 Na 2.90-2.98, 1 Se 3.24
Se3 0.1204 0.1204 0.6387  6 Na 2.90-2.98, 1 Se 3.24
Se4 0.6204 0.6204 0.1387  6 Na 2.90-2.98, 1 Se 3.24

=====

(6)
Computed, not measured: crystalline NaSe at its relaxed geometry at the PBE level of DFT.

## Properties
The mass density is 3.21 Mg/m³. The raw formation energy comes out at -0.762 eV per atom. The total magnetization is 0.00 μB per cell. The calculation puts the density of states at the Fermi level at 0.99 states/eV/cell.

abc: 4.4351 8.5740 5.5426
angles: 90.00 90.00 90.00
With the nearest neighbours (Å) after each atom.
Atoms (fractional coordinates):
Na1 0.0000 0.3172 0.0000  6 Se 2.99-3.12, 1 Na 3.13
Na2 0.0000 0.6828 0.0000  6 Se 2.99-3.12, 1 Na 3.13
Na3 0.5000 0.8172 0.5000  6 Se 2.99-3.12, 1 Na 3.13
Na4 0.5000 0.1828 0.5000  6 Se 2.99-3.12, 1 Na 3.13
Se1 0.0000 0.0000 0.7764  1 Se 2.48
Se2 0.0000 0.0000 0.2236  1 Se 2.48
Se3 0.5000 0.5000 0.2764  1 Se 2.48
Se4 0.5000 0.5000 0.7236  1 Se 2.48

=====

(7)
Computed, not measured: crystalline NaSe at its relaxed geometry at the PBE level of DFT.

## Properties
The mass density is 2.55 Mg/m³. The raw formation energy comes out at -0.661 eV per atom. The total magnetization is 2.01 μB per cell. The calculation puts the density of states at the Fermi level at 4.59 states/eV/cell.

abc: 14.1774 5.0260 5.5963
angles: 90.00 90.00 90.00
With the nearest neighbours (Å) after each atom.
Atoms (fractional coordinates):
Na1 0.7775 0.2669 0.8167  4 Se 2.91-2.97
Na2 0.7225 0.7331 0.3167  4 Se 2.91-2.97
Na3 0.2225 0.2669 0.8167  4 Se 2.91-2.97
Na4 0.2775 0.7331 0.3167  4 Se 2.91-2.97
Na5 0.0000 0.8442 0.2459  4 Se 2.84-3.09
Na6 0.5000 0.1558 0.7459  4 Se 2.84-3.09
Se1 0.8339 0.2342 0.3172  1 Se 2.60, 1 Na 2.91
Se2 0.6661 0.7658 0.8172  1 Se 2.60, 1 Na 2.91
Se3 0.1661 0.2342 0.3172  1 Se 2.60, 1 Na 2.91
Se4 0.3339 0.7658 0.8172  1 Se 2.60, 1 Na 2.91
Se5 0.0000 0.3472 0.4884  2 Se 2.60, 2 Na 2.84-2.87
Se6 0.5000 0.6528 0.9884  2 Se 2.60, 2 Na 2.84-2.87

=====

(8)
Computed, not measured: crystalline Na3Se at its relaxed geometry at the PBE level of DFT.

## Properties
The mass density is 2.44 Mg/m³. The raw formation energy comes out at -0.569 eV per atom. The total magnetization is 0.83 μB per cell. The calculation puts the density of states at the Fermi level at 0.91 states/eV/cell.

abc: 4.6490 4.6490 4.6490
angles: 90.00 90.00 90.00
With the nearest neighbours (Å) after each atom.
Atoms (fractional coordinates):
Na1 0.0000 0.5000 0.5000  8 Na 3.29, 4 Se 3.29
Na2 0.5000 0.0000 0.5000  8 Na 3.29, 4 Se 3.29
Na3 0.5000 0.5000 0.0000  4 Se 3.29, 8 Na 3.29
Se1 0.0000 0.0000 0.0000  12 Na 3.29

=====

(9)
Computed, not measured: crystalline NaSe at its relaxed geometry at the PBE level of DFT.

## Properties
The mass density is 2.64 Mg/m³. The raw formation energy comes out at -0.749 eV per atom. The total magnetization is 0.00 μB per cell.

abc: 6.8400 6.8400 5.4728
angles: 90.00 90.00 90.00
With the nearest neighbours (Å) after each atom.
Atoms (fractional coordinates):
Na1 0.7223 0.2777 0.0000  4 Se 2.89-2.95
Na2 0.2223 0.2223 0.5000  4 Se 2.89-2.95
Na3 0.7777 0.7777 0.5000  4 Se 2.89-2.95
Na4 0.2777 0.7223 0.0000  4 Se 2.89-2.95
Se1 0.8736 0.8736 0.0000  1 Se 2.45
Se2 0.3736 0.6264 0.5000  1 Se 2.45
Se3 0.6264 0.3736 0.5000  1 Se 2.45
Se4 0.1264 0.1264 0.0000  1 Se 2.45

=====

(10)
Computed, not measured: crystalline NaSe at its relaxed geometry at the PBE level of DFT.

## Properties
The mass density is 2.56 Mg/m³. The raw formation energy comes out at -0.654 eV per atom. The total magnetization is 0.00 μB per cell. The calculation puts the density of states at the Fermi level at 14.88 states/eV/cell.

abc: 7.5840 17.3616 8.0271
angles: 90.00 90.00 90.00
With the nearest neighbours (Å) after each atom.
Atoms (fractional coordinates):
Na1 0.2644 0.0000 0.0000  4 Se 2.85-2.93
Na2 0.7356 0.0000 0.0000  4 Se 2.85-2.93
Na3 0.9856 0.7500 0.2500  4 Se 2.85-2.93
Na4 0.5144 0.7500 0.2500  4 Se 2.85-2.93
Na5 0.2644 0.5000 0.5000  4 Se 2.85-2.93
Na6 0.7356 0.5000 0.5000  4 Se 2.85-2.93
Na7 0.9856 0.2500 0.7500  4 Se 2.85-2.93
Na8 0.5144 0.2500 0.7500  4 Se 2.85-2.93
Na9 0.7644 0.0000 0.5000  4 Se 2.85-2.93
Na10 0.2356 0.0000 0.5000  4 Se 2.85-2.93
Na11 0.4856 0.7500 0.7500  4 Se 2.85-2.93
Na12 0.0144 0.7500 0.7500  4 Se 2.85-2.93
Na13 0.7644 0.5000 0.0000  4 Se 2.85-2.93
Na14 0.2356 0.5000 0.0000  4 Se 2.85-2.93
Na15 0.4856 0.2500 0.2500  4 Se 2.85-2.93
Na16 0.0144 0.2500 0.2500  4 Se 2.85-2.93
Se1 0.0000 0.6337 0.0000  2 Se 2.78, 4 Na 2.85-2.93
Se2 0.0000 0.3663 0.0000  2 Se 2.78, 4 Na 2.85-2.93
Se3 0.2500 0.1163 0.2500  2 Se 2.78, 4 Na 2.85-2.93
Se4 0.2500 0.3837 0.2500  2 Se 2.78, 4 Na 2.85-2.93
Se5 0.0000 0.1337 0.5000  2 Se 2.78, 4 Na 2.85-2.93
Se6 0.0000 0.8663 0.5000  2 Se 2.78, 4 Na 2.85-2.93
Se7 0.2500 0.6163 0.7500  2 Se 2.78, 4 Na 2.85-2.93
Se8 0.2500 0.8837 0.7500  2 Se 2.78, 4 Na 2.85-2.93
Se9 0.5000 0.6337 0.5000  2 Se 2.78, 4 Na 2.85-2.93
Se10 0.5000 0.3663 0.5000  2 Se 2.78, 4 Na 2.85-2.93
Se11 0.7500 0.1163 0.7500  2 Se 2.78, 4 Na 2.85-2.93
Se12 0.7500 0.3837 0.7500  2 Se 2.78, 4 Na 2.85-2.93
Se13 0.5000 0.1337 0.0000  2 Se 2.78, 4 Na 2.85-2.93
Se14 0.5000 0.8663 0.0000  2 Se 2.78, 4 Na 2.85-2.93
Se15 0.7500 0.6163 0.2500  2 Se 2.78, 4 Na 2.85-2.93
Se16 0.7500 0.8837 0.2500  2 Se 2.78, 4 Na 2.85-2.93

=====

no.,calculated volume (Å³ per atom)
1,26.93
2,26.32
3,25.41
4,34.30
5,25.51
6,26.35
7,33.23
8,25.12
9,32.01
10,33.03